Entry from the Open Quantum Materials Database: a geometry-optimized KLiNiW structure (PBE).

Cell and atoms, written as POSCAR:
```
KLiNiW
1.0
7.5283 0.0000 0.0000
0.0000 7.5283 0.0000
0.0000 0.0000 7.5283
K Li Ni W
4 4 4 4
Direct
0.0000 0.0000 0.0000
0.0000 0.5000 0.5000
0.5000 0.0000 0.5000
0.5000 0.5000 0.0000
0.2500 0.2500 0.7500
0.2500 0.7500 0.2500
0.7500 0.2500 0.2500
0.7500 0.7500 0.7500
0.2500 0.2500 0.2500
0.2500 0.7500 0.7500
0.7500 0.2500 0.7500
0.7500 0.7500 0.2500
0.0000 0.0000 0.5000
0.0000 0.5000 0.0000
0.5000 0.0000 0.0000
0.5000 0.5000 0.5000
```

Computed properties:
- calculated density (g cm⁻³) = 4.5
- SG = No. 216
- total DFT energy (no corrections) (eV/atom) = -3.718



Entry from the Open Quantum Materials Database: a geometry-optimized ScCoBiIr structure (PBE).

Cell and atoms, written as POSCAR:
```
ScCoBiIr
1.0
6.5438 0.0000 0.0000
0.0000 6.5438 0.0000
0.0000 0.0000 6.5438
Sc Co Bi Ir
4 4 4 4
Direct
0.0000 0.0000 0.0000
0.0000 0.5000 0.5000
0.5000 0.0000 0.5000
0.5000 0.5000 0.0000
0.0000 0.0000 0.5000
0.0000 0.5000 0.0000
0.5000 0.0000 0.0000
0.5000 0.5000 0.5000
0.2500 0.2500 0.2500
0.2500 0.7500 0.7500
0.7500 0.2500 0.7500
0.7500 0.7500 0.2500
0.2500 0.2500 0.7500
0.2500 0.7500 0.2500
0.7500 0.2500 0.2500
0.7500 0.7500 0.7500
```

Computed properties:
- calculated density (g cm⁻³) = 12.0
- SG = No. 216
- total DFT energy (no corrections) (eV/atom) = -6.519



Entry from the Open Quantum Materials Database: a geometry-optimized Nd2CdAsP structure (PBE).

Cell and atoms, written as POSCAR:
```
Nd2CdAsP
1.0
2.0766 -9.2121 0.0000
2.0766 9.2121 0.0000
0.0000 0.0000 6.4617
Nd Cd As P
4 2 2 2
Direct
0.0221 0.9779 0.5000
0.2017 0.7983 0.1814
0.7983 0.2017 0.6814
0.9779 0.0221 0.0000
0.3869 0.6131 0.3016
0.6131 0.3869 0.8016
0.4144 0.5856 0.7140
0.5856 0.4144 0.2140
0.1845 0.8155 0.6577
0.8155 0.1845 0.1577
```

Computed properties:
- calculated density (g cm⁻³) = 6.8
- SG = No. 36
- total DFT energy (no corrections) (eV/atom) = -5.001



Entry from the Open Quantum Materials Database: a geometry-optimized YTlCdSe3 structure (PBE).

Cell and atoms, written as POSCAR:
```
YTlCdSe3
1.0
8.3542 0.0000 0.0000
0.0000 4.2382 0.0000
-3.2227 0.0000 10.1246
Y Tl Cd Se
2 2 2 6
Direct
0.1886 0.2500 0.1337
0.8114 0.7500 0.8663
0.2405 0.7500 0.7293
0.7595 0.2500 0.2707
0.4256 0.7500 0.3863
0.5744 0.2500 0.6137
0.0440 0.2500 0.8573
0.2527 0.2500 0.4346
0.4281 0.7500 0.1395
0.5719 0.2500 0.8605
0.7473 0.7500 0.5654
0.9560 0.7500 0.1427
```

Computed properties:
- calculated density (g cm⁻³) = 6.0
- SG = No. 11
- total DFT energy (no corrections) (eV/atom) = -4.437



Computed total magnetic moment, in the same sequence as the records: 16.6, 6.8, 0.0, 0.0 Bohr magnetons per cell.